A plane-wave DFT calculation with PBE was carried out for an optimized crystal structure of RbCa3As.

extended XYZ file:
```
5
Lattice="5.932 0.000 0.000 0.000 5.932 0.000 0.000 0.000 5.932" Properties=species:S:1:pos:R:3 pbc="T T T"
Ca 2.966 0.000 0.000
Ca 0.000 0.000 2.966
Ca 0.000 2.966 0.000
Rb 0.000 0.000 0.000
As 2.966 2.966 2.966
```

Properties
V in A^3/atom: 41.75
D(E_F) in states/eV per cell: 4.3
Total moment in μB per formula unit: 2.1
Formation enthalpy at 0 K in eV per atom: 1.14